Here is a geometry-optimized Ni2Rh2W structure from Alexandria via LeMat-Bulk. Energies are from PBE.

```
Ni2Rh2W
1.0
4.186 -1.864 0.000
4.186 1.864 0.000
-4.139 0.000 4.248
Ni Rh W
2 2 1
Cartesian
0.413 0.000 1.316
3.820 0.000 2.932
2.949 0.000 0.453
1.284 0.000 3.795
-2.069 0.000 2.124
```

Properties
**Density**: 12.7 g cm⁻³
**N(E_F)**: 8.59 states/eV per cell
**Energy relative to the elements**: -110 meV/atom
**Energy above the most stable polymorph in this dataset**: 0 meV/atom
**Electronic total energy**: -7.95 eV/atom
**Space group**: C2/m, No. 12

***

Here is a geometry-optimized NiRh3W structure from Alexandria via LeMat-Bulk. Energies are from PBE.

```
NiRh3W
1.0
6.319 0.000 0.000
-3.159 5.472 0.000
0.000 0.000 4.357
Ni Rh W
2 6 2
Cartesian
0.000 0.000 0.000
0.000 0.000 2.178
0.000 2.151 1.089
-1.296 4.397 1.089
1.863 1.076 3.268
1.296 4.397 1.089
4.456 1.076 3.268
3.159 3.321 3.268
0.000 3.648 3.268
3.159 1.824 1.089
```

Properties
**Density**: 12.2 g cm⁻³
**N(E_F)**: 11.39 states/eV per cell
**Energy relative to the elements**: 411 meV/atom
**Energy above the most stable polymorph in this dataset**: 314 meV/atom
**Electronic total energy**: -7.75 eV/atom
**Space group**: P6_3/mmc, No. 194

***

Here is a geometry-optimized Ni8Rh6W structure from Alexandria via LeMat-Bulk. Energies are from PBE.

```
Ni8Rh6W
1.0
3.458 1.996 4.849
-3.458 1.996 4.849
0.000 -3.993 4.849
Ni Rh W
8 6 1
Cartesian
-1.074 -2.117 6.848
-2.371 -0.128 7.698
0.000 0.000 3.271
-1.297 1.989 6.848
1.297 -1.989 7.699
0.000 0.000 11.276
2.371 0.128 6.848
1.074 2.117 7.699
-1.683 0.159 5.321
0.703 -1.537 5.321
-0.979 -1.378 9.226
0.979 1.378 5.321
-0.703 1.537 9.226
1.683 -0.159 9.226
0.000 0.000 0.000
```

Properties
**Density**: 10.5 g cm⁻³
**N(E_F)**: 26.19 states/eV per cell
**Energy relative to the elements**: 229 meV/atom
**Electronic total energy**: -6.66 eV/atom
**Space group**: R-3, No. 148

***

Here is a geometry-optimized NiRhW2 structure from Alexandria via LeMat-Bulk. Energies are from PBE.

```
NiRhW2
1.0
1.378 0.795 8.871
-1.378 0.795 8.871
0.000 -1.591 8.871
Ni Rh W
1 1 2
Cartesian
0.000 0.000 0.000
0.000 0.000 13.307
0.000 0.000 6.700
0.000 0.000 19.914
```

Properties
**Density**: 15.1 g cm⁻³
**N(E_F)**: 4.83 states/eV per cell
**Energy relative to the elements**: 124 meV/atom
**Energy above the most stable polymorph in this dataset**: 178 meV/atom
**Electronic total energy**: -9.64 eV/atom
**Space group**: R-3m, No. 166